# 1
4
Lattice="4.664 0.000 0.000 2.332 4.039 0.000 2.332 1.346 3.808" Properties=species:S:1:pos:R:3 comment="ErSbRuRh (PBE, relaxed)" raw_formation_energy_kj_per_mol_atoms=-55 magmom_total_mub_per_cell=0.85 volume_a3_per_cell=71.7 pbc="T T T"
Ru 6.995 4.039 2.856
Sb 4.664 2.693 1.904
Rh 2.332 1.346 0.952
Er 0.000 0.000 0.000

---

# 2
12
Lattice="-2.397 4.428 1.363 -3.898 -0.372 -5.646 -6.997 -5.385 5.186" Properties=species:S:1:pos:R:3 comment="Sm2Tl (PBE, relaxed)" magmom_total_mub_per_cell=0.00 energy_ev_per_atom=-4.21 volume_a3_per_cell=367.0 pbc="T T T"
Sm -8.526 -0.664 2.134
Sm -2.238 -0.033 1.163
Sm -11.054 -1.295 -0.260
Sm -4.766 -0.665 -1.231
Sm -3.502 2.848 -0.439
Sm -5.262 -2.007 2.254
Sm -8.030 0.678 -1.351
Sm -9.790 -4.177 1.343
Tl -5.677 2.414 -2.852
Tl -7.659 -2.462 -0.479
Tl -5.633 1.133 1.383
Tl -7.615 -3.742 3.755

---

# 3
4
Lattice="9.460 -1.508 0.010 9.460 1.508 0.010 9.217 0.000 2.611" Properties=species:S:1:pos:R:3 comment="TeRh2Au (PBE, relaxed)" raw_formation_energy_kj_per_mol_atoms=31 magmom_total_mub_per_cell=1.60 volume_a3_per_cell=74.2 pbc="T T T"
Te 13.736 0.000 1.284
Rh 0.175 0.000 0.016
Rh 20.988 0.000 1.962
Au 7.307 0.000 0.683

---

# 4
8
Lattice="-3.250 1.119 -5.765 4.179 -5.232 0.465 -3.438 -2.111 5.364" Properties=species:S:1:pos:R:3 comment="YHo2Sc5 (PBE, relaxed)" magmom_total_mub_per_cell=0.00 energy_ev_per_atom=-5.85 volume_a3_per_cell=215.7 pbc="T T T"
Y 0.576 -5.714 4.536
Ho -3.138 -2.536 1.419
Ho 0.670 -4.097 -1.031
Sc -1.048 -5.151 1.652
Sc 2.294 -4.655 1.852
Sc -1.512 -3.096 4.300
Sc -1.420 -1.481 -1.265
Sc 0.206 -2.038 1.618

---

# 5
4
Lattice="6.302 0.013 0.044 -2.854 5.619 0.044 -2.854 -4.662 3.137" Properties=species:S:1:pos:R:3 comment="Ca3Tc (PBE, relaxed)" magmom_total_mub_per_cell=1.84 energy_ev_per_atom=-3.38 volume_a3_per_cell=113.8 pbc="T T T"
Ca 0.000 0.000 0.000
Ca 1.724 2.816 0.044
Ca -2.854 0.478 1.590
Tc 1.724 -2.324 1.590

---

# 6
9
Lattice="2.743 -0.140 -0.823 -0.658 6.357 -3.276 -0.498 0.038 8.047" Properties=species:S:1:pos:R:3 comment="Zn6Ir2Au (PBE, relaxed)" magmom_total_mub_per_cell=0.00 energy_ev_per_atom=-3.27 volume_a3_per_cell=137.1 pbc="T T T"
Zn 1.469 0.068 4.756
Zn 0.529 2.215 1.239
Zn 0.118 6.188 -0.809
Zn 1.155 2.018 -1.488
Zn 1.058 4.041 2.709
Zn 0.930 4.199 -2.611
Ir -0.174 2.004 3.924
Ir 1.761 4.251 0.024
Au 0.000 0.000 0.000

---

# 7
5
Lattice="4.877 0.000 0.000 0.000 4.877 0.000 0.000 0.000 4.877" Properties=species:S:1:pos:R:3 comment="Na3ZrH (PBE, relaxed)" magmom_total_mub_per_cell=0.00 energy_ev_per_atom=-2.42 volume_a3_per_cell=116.0 pbc="T T T"
Na 0.000 2.438 0.000
Na 0.000 0.000 2.438
Na 2.438 0.000 0.000
Zr 2.438 2.438 2.438
H 0.000 0.000 0.000

---

# 8
4
Lattice="5.154 0.046 -0.086 3.987 3.266 -0.086 2.327 0.843 4.131" Properties=species:S:1:pos:R:3 comment="Zr2FeRe (PBE, relaxed)" magmom_total_mub_per_cell=1.28 volume_a3_per_cell=69.5 e_above_lowest_polymorph_mev_per_atom=295.0 pbc="T T T"
Fe 2.867 1.039 0.990
Re 8.601 3.116 2.969
Zr 9.074 3.288 -0.130
Zr 5.801 2.102 1.936

---

# 9
12
Lattice="5.960 0.000 -0.516 0.000 7.331 0.000 -2.315 -3.665 7.949" Properties=species:S:1:pos:R:3 comment="Er4TmRu (PBE, relaxed)" magmom_total_mub_per_cell=0.03 energy_ev_per_atom=-5.47 volume_a3_per_cell=338.5 pbc="T T T"
Er 0.227 3.665 2.651
Er 0.512 -1.851 5.931
Er 0.000 1.530 0.000
Er 3.132 1.814 1.502
Er 3.417 0.000 4.781
Er 3.132 5.516 1.502
Er 0.000 5.801 0.000
Er 0.512 1.851 5.931
Tm 3.377 3.665 4.359
Tm 0.268 0.000 3.073
Ru 1.560 3.665 -0.130
Ru 2.085 0.000 7.563

---

# 10
4
Lattice="-3.843 -0.686 0.771 -0.286 -2.120 -3.312 0.981 -3.255 1.998" Properties=species:S:1:pos:R:3 comment="PaFe2Rh (PBE, relaxed)" magmom_total_mub_per_cell=3.48 energy_ev_per_atom=-8.74 volume_a3_per_cell=61.9 pbc="T T T"
Pa -1.921 -0.343 0.385
Rh -1.574 -3.030 -0.272
Fe 0.491 -1.627 0.999
Fe -0.143 -1.060 -1.656

---

# 11
12
Lattice="4.780 0.000 1.496 2.156 4.266 1.496 0.113 0.069 8.024" Properties=species:S:1:pos:R:3 comment="Tm3Be2Ni7 (PBE, relaxed)" magmom_total_mub_per_cell=0.00 energy_ev_per_atom=-5.62 volume_a3_per_cell=162.6 pbc="T T T"
Tm 0.000 0.000 0.000
Tm 6.009 3.696 5.953
Tm 1.040 0.639 5.063
Be 4.737 2.914 10.018
Be 2.312 1.422 0.998
Ni 3.524 2.168 5.508
Ni 5.356 1.826 3.844
Ni 4.045 3.957 3.844
Ni 2.968 1.826 3.096
Ni 1.693 2.510 7.172
Ni 4.080 2.510 7.919
Ni 3.003 0.379 7.172

---

# 12
4
Lattice="-4.107 -2.174 -3.241 -3.140 -4.308 1.917 -5.433 0.843 1.367" Properties=species:S:1:pos:R:3 comment="CeNdEr2 (PBE, relaxed)" magmom_total_mub_per_cell=0.69 volume_a3_per_cell=128.6 e_above_lowest_polymorph_mev_per_atom=119.4 pbc="T T T"
Nd -6.340 -2.820 0.022
Ce 0.000 0.000 0.000
Er -3.170 -1.410 0.011
Er -9.511 -4.229 0.033